# 1
## Y2Er4Se9 (PBE)

Data for a geometry-optimized Y2Er4Se9 structure.

Calculated values
**Total moment**: 0.00 μB/f.u.
**SG**: No. 2
**DFT total energy**: -180.90 eV per cell
**Energy relative to the elements, uncorrected**: -27.91 eV per formula unit

a b c (Å): 7.1572 7.1592 19.4015
angles (deg): 90.01 90.03 60.03
With the nearest neighbours (Å) after each atom.
Fractional coordinates of all 30 atoms:
Y 0.9990 0.0014 0.3480  6 Se 2.84-2.92
Y 0.9998 0.9989 0.1518  6 Se 2.84-2.91
Y 0.0010 0.9986 0.6520  6 Se 2.84-2.92
Y 0.0002 0.0011 0.8482  6 Se 2.84-2.91
Er 0.3330 0.3335 0.9863  6 Se 2.82-2.88
Er 0.3339 0.3332 0.4866  6 Se 2.82-2.88
Er 0.6670 0.6665 0.0137  6 Se 2.82-2.88
Er 0.3323 0.3337 0.1809  6 Se 2.82-2.89
Er 0.6661 0.6668 0.5134  6 Se 2.82-2.88
Er 0.6658 0.6668 0.3193  6 Se 2.82-2.89
Er 0.3342 0.3332 0.6807  6 Se 2.82-2.89
Er 0.6677 0.6663 0.8191  6 Se 2.82-2.89
Se 0.0010 0.3077 0.7499  2 Er 2.82, 2 Y 2.91-2.92
Se 0.3080 0.6917 0.7503  2 Er 2.82, 2 Y 2.91
Se 0.6925 0.0003 0.7501  2 Er 2.82, 2 Y 2.91
Se 0.9990 0.6923 0.2501  2 Er 2.82, 2 Y 2.91-2.92
Se 0.6920 0.3083 0.2497  2 Er 2.82, 2 Y 2.91
Se 0.3075 0.9997 0.2499  2 Er 2.82, 2 Y 2.91
Se 0.6621 0.9739 0.4165  3 Er 2.82-2.89, 1 Y 2.85
Se 0.9732 0.3643 0.4168  3 Er 2.82-2.89, 1 Y 2.84
Se 0.3628 0.6631 0.4165  3 Er 2.82-2.88, 1 Y 2.85
Se 0.6350 0.0273 0.0834  3 Er 2.82-2.89, 1 Y 2.84
Se 0.3375 0.6354 0.0834  3 Er 2.82-2.89, 1 Y 2.84
Se 0.0270 0.3360 0.0832  3 Er 2.82-2.89, 1 Y 2.85
Se 0.3379 0.0261 0.5835  3 Er 2.82-2.89, 1 Y 2.85
Se 0.0268 0.6357 0.5832  3 Er 2.82-2.89, 1 Y 2.84
Se 0.6372 0.3369 0.5835  3 Er 2.82-2.88, 1 Y 2.85
Se 0.3650 0.9727 0.9166  3 Er 2.82-2.89, 1 Y 2.84
Se 0.6625 0.3646 0.9166  3 Er 2.82-2.89, 1 Y 2.84
Se 0.9730 0.6640 0.9168  3 Er 2.82-2.89, 1 Y 2.85

***

# 2
## YErSe2 (PBE)

Data for a geometry-optimized YErSe2 structure.

Calculated values
**Total moment**: 0.00 μB/f.u.
**SG**: No. 31
**DFT total energy**: -47.04 eV per cell
**Energy relative to the elements, uncorrected**: -5.52 eV per formula unit

a b c (Å): 4.2403 6.3908 9.1366
angles (deg): 90.00 90.02 89.98
With the nearest neighbours (Å) after each atom.
Fractional coordinates of all 8 atoms:
Y 0.2005 0.7988 0.7732  4 Se 2.76-2.87
Y 0.7012 0.2989 0.4427  4 Se 2.76-2.87
Er 0.2013 0.9329 0.1918  4 Se 2.74-2.97
Er 0.7007 0.4327 0.0242  4 Se 2.74-2.97
Se 0.7015 0.6628 0.2772  3 Er 2.74-2.84, 1 Y 2.77
Se 0.7005 0.5389 0.7079  3 Y 2.76-2.87, 1 Er 2.97
Se 0.2014 0.0390 0.5081  3 Y 2.76-2.87, 1 Er 2.97
Se 0.2008 0.1627 0.9387  3 Er 2.74-2.84, 1 Y 2.77

***

Which formula does entry 1 have? Y2Er4Se9